Material: LiLa2Cl
Method: DFT, PBE
State: relaxed

a b c (Å): 7.027 7.027 7.027
angles (deg): 150.80 137.31 52.56
Fractional positions:
Cl 0.241 0.741 0.500
La 0.042 0.042 0.000
La 0.764 0.264 0.500
Li 0.453 0.453 0.000

For the total DFT energy (no corrections), the calculation gives -3.899 eV per atom.